GeW3O | GGA+U | optimized geometry

The energy comes out at -3.851 eV/atom. The calculation puts the size of the total moment at 11.56 μB per formula unit.

The space group is Pm-3m (No. 221) and the conventional cell measures 5.157, 5.157 and 5.157 Å, with angles of 90.00, 90.00 and 90.00 degrees. The asymmetric unit holds Ge at (0.000, 0.000, 0.000), W at (0.000, 0.000, 0.500) and O at (0.500, 0.500, 0.500).